w.
VASP calculation (meta-GGA SCAN) on a crystal of Ag7Pt5 relaxed with PBEsol.

Unit cell a=4.9140 b=6.2662 c=6.2662 alpha=84.54 beta=82.74 gamma=82.74
Sites, in units of the cell vectors:
Ag 0.7516 0.0847 0.4194
Ag 0.2484 0.9153 0.5806
Ag 0.7516 0.4194 0.0847
Ag 0.0000 0.3355 0.6645
Ag 0.0000 0.6645 0.3355
Ag 0.2484 0.5806 0.9153
Ag 0.0000 0.0000 0.0000
Pt 0.7364 0.7542 0.7542
Pt 0.2636 0.2458 0.2458
Pt 0.5000 0.5000 0.5000
Pt 0.5000 0.8373 0.1627
Pt 0.5000 0.1627 0.8373

mass density = 15.18 g cm⁻³
DOS(E_F) = 5.44 states/eV per cell

x.
VASP calculation (meta-GGA SCAN) on a crystal of Ag7Pt5 relaxed with PBEsol.

Unit cell a=4.8353 b=4.8913 c=8.8842 alpha=100.89 beta=100.65 gamma=108.51
Sites, in units of the cell vectors:
Ag 0.0825 0.5825 0.1650
Ag 0.2510 0.7510 0.5020
Ag 0.0032 0.0032 0.0063
Ag 0.9140 0.4140 0.8280
Ag 0.4192 0.9192 0.8384
Ag 0.8327 0.8327 0.6655
Ag 0.6642 0.6642 0.3285
Pt 0.1707 0.1707 0.3413
Pt 0.3319 0.3319 0.6637
Pt 0.7474 0.2474 0.4948
Pt 0.5859 0.0859 0.1718
Pt 0.4973 0.4973 0.9946

mass density = 15.22 g cm⁻³
DOS(E_F) = 5.09 states/eV per cell

Of them, w has the lowest stability.

w.
VASP calculation (meta-GGA SCAN) on a crystal of Ag2Pt3 relaxed with PBEsol.

Unit cell a=4.0012 b=6.0886 c=6.3597 alpha=92.09 beta=90.00 gamma=90.00
Sites, in units of the cell vectors:
Ag 0.0000 0.7979 0.5997
Ag 0.0000 0.2021 0.4003
Ag 0.0000 0.0000 0.0000
Ag 0.5000 0.5000 0.5000
Pt 0.5000 0.9018 0.2988
Pt 0.0000 0.6032 0.1940
Pt 0.5000 0.3054 0.0955
Pt 0.5000 0.0982 0.7012
Pt 0.0000 0.3968 0.8060
Pt 0.5000 0.6946 0.9045

mass density = 17.18 g cm⁻³
DOS(E_F) = 7.93 states/eV per cell

x.
VASP calculation (meta-GGA SCAN) on a crystal of Ag2Pt3 relaxed with PBEsol.

Unit cell a=2.7687 b=3.9563 c=7.4683 alpha=105.36 beta=100.68 gamma=90.00
Sites, in units of the cell vectors:
Ag 0.3001 0.8001 0.6002
Ag 0.6999 0.1999 0.3998
Pt 0.5000 0.0000 0.0000
Pt 0.0958 0.5958 0.1916
Pt 0.9042 0.4042 0.8084

mass density = 17.18 g cm⁻³
DOS(E_F) = 4.40 states/eV per cell

y.
VASP calculation (meta-GGA SCAN) on a crystal of Ag2Pt3 relaxed with PBEsol.

Unit cell a=2.7572 b=2.7572 c=11.8172 alpha=83.30 beta=83.30 gamma=60.00
Sites, in units of the cell vectors:
Ag 0.5997 0.5997 0.2008
Ag 0.4003 0.4003 0.7992
Pt 0.0000 0.0000 0.0000
Pt 0.8003 0.8003 0.5991
Pt 0.1997 0.1997 0.4009

mass density = 17.25 g cm⁻³
DOS(E_F) = 3.54 states/eV per cell

z.
VASP calculation (meta-GGA SCAN) on a crystal of Ag2Pt3 relaxed with PBEsol.

Unit cell a=2.7520 b=4.9082 c=6.2813 alpha=74.53 beta=77.35 gamma=73.72
Sites, in units of the cell vectors:
Pt 0.1017 0.1867 0.6100
Pt 0.5000 0.0000 0.0000
Pt 0.8983 0.8133 0.3900
Ag 0.6952 0.4044 0.2052
Ag 0.3048 0.5956 0.7948

mass density = 17.16 g cm⁻³
DOS(E_F) = 3.76 states/eV per cell

Of them, w has the lowest stability.

w.
VASP calculation (meta-GGA SCAN) on a crystal of Ag2Pt3 relaxed with PBEsol.

Unit cell a=4.7834 b=4.8658 c=7.4204 alpha=108.33 beta=101.63 gamma=100.52
Sites, in units of the cell vectors:
Pt 0.0593 0.1039 0.3542
Pt 0.4599 0.9138 0.1574
Pt 0.3544 0.7061 0.4529
Pt 0.9407 0.8961 0.6458
Pt 0.5401 0.0862 0.8426
Pt 0.6456 0.2939 0.5471
Ag 0.1508 0.3003 0.0496
Ag 0.2466 0.4995 0.7533
Ag 0.8492 0.6997 0.9504
Ag 0.7534 0.5005 0.2467

mass density = 17.18 g cm⁻³
DOS(E_F) = 7.63 states/eV per cell

x.
VASP calculation (meta-GGA SCAN) on a crystal of Ag2Pt3 relaxed with PBEsol.

Unit cell a=2.7556 b=4.9104 c=11.6005 alpha=99.82 beta=90.00 gamma=90.00
Sites, in units of the cell vectors:
Ag 0.2500 0.4688 0.1014
Ag 0.7500 0.5312 0.8986
Ag 0.7500 0.1495 0.7010
Ag 0.2500 0.8505 0.2990
Pt 0.7500 0.3466 0.3020
Pt 0.2500 0.0252 0.9017
Pt 0.7500 0.7458 0.4997
Pt 0.2500 0.6534 0.6980
Pt 0.7500 0.9748 0.0983
Pt 0.2500 0.2542 0.5003

mass density = 17.20 g cm⁻³
DOS(E_F) = 6.30 states/eV per cell

y.
VASP calculation (meta-GGA SCAN) on a crystal of Ag2Pt3 relaxed with PBEsol.

Unit cell a=2.7616 b=4.8441 c=11.6441 alpha=93.86 beta=96.81 gamma=90.00
Sites, in units of the cell vectors:
Pt 0.0991 0.6953 0.1982
Pt 0.5015 0.5011 0.0030
Pt 0.2999 0.1028 0.5999
Pt 0.7976 0.5999 0.5951
Pt 0.2002 0.3997 0.4005
Pt 0.6022 0.2031 0.2044
Ag 0.3989 0.7968 0.7979
Ag 0.0003 0.0006 0.0006
Ag 0.6993 0.8990 0.3986
Ag 0.9009 0.3016 0.8019

mass density = 17.24 g cm⁻³
DOS(E_F) = 8.77 states/eV per cell

Of them, w has the lowest stability.

w.
VASP calculation (meta-GGA SCAN) on a crystal of Ag2Pt3 relaxed with PBEsol.

Unit cell a=4.8480 b=4.8536 c=7.3740 alpha=70.83 beta=71.13 gamma=80.55
Sites, in units of the cell vectors:
Pt 0.4981 0.1112 0.3000
Pt 0.5040 0.4960 0.5034
Pt 0.5023 0.8956 0.6954
Pt 0.4929 0.3143 0.9002
Pt 0.9985 0.3925 0.1995
Pt 0.0016 0.5942 0.8014
Ag 0.9993 0.9968 0.9994
Ag 0.0041 0.7957 0.3991
Ag 0.5010 0.7086 0.0999
Ag 0.9981 0.1953 0.6017

mass density = 17.19 g cm⁻³
DOS(E_F) = 8.71 states/eV per cell

x.
VASP calculation (meta-GGA SCAN) on a crystal of Ag2Pt3 relaxed with PBEsol.

Unit cell a=4.8028 b=4.8090 c=7.5054 alpha=84.00 beta=71.34 gamma=70.92
Sites, in units of the cell vectors:
Pt 0.4520 0.2500 0.0959
Pt 0.9498 0.7500 0.1005
Pt 0.5480 0.7500 0.9041
Pt 0.0502 0.2500 0.8995
Pt 0.6418 0.2500 0.7164
Pt 0.3582 0.7500 0.2836
Ag 0.2508 0.2500 0.4984
Ag 0.8469 0.2500 0.3063
Ag 0.1531 0.7500 0.6937
Ag 0.7492 0.7500 0.5016

mass density = 17.14 g cm⁻³
DOS(E_F) = 7.55 states/eV per cell

y.
VASP calculation (meta-GGA SCAN) on a crystal of Ag2Pt3 relaxed with PBEsol.

Unit cell a=2.7519 b=2.7519 c=10.4170 alpha=97.59 beta=97.59 gamma=90.00
Site moments in Bohr magnetons follow the coordinates.
Sites, in units of the cell vectors:
Ag 0.1007 0.1007 0.2014  0.01
Ag 0.8993 0.8993 0.7986  0.01
Pt 0.5000 0.5000 0.0000  0.01
Pt 0.7024 0.7024 0.4048  0.17
Pt 0.2976 0.2976 0.5952  0.17

mass density = 17.16 g cm⁻³
DOS(E_F) = 4.39 states/eV per cell

Of them, y has the lowest stability.

w.
VASP calculation (meta-GGA SCAN) on a crystal of Ag3Pt2 relaxed with PBEsol.

Unit cell a=4.8477 b=5.6055 c=6.3417 alpha=102.60 beta=97.75 gamma=106.31
Sites, in units of the cell vectors:
Ag 0.2048 0.1533 0.3987
Ag 0.7952 0.8467 0.6013
Ag 0.2024 0.6484 0.3985
Ag 0.7976 0.3516 0.6015
Ag 0.6032 0.9535 0.1992
Ag 0.3968 0.0465 0.8008
Pt 0.9922 0.7467 0.9990
Pt 0.6078 0.4513 0.1919
Pt 0.3922 0.5487 0.8081
Pt 0.0078 0.2533 0.0010

mass density = 15.02 g cm⁻³
DOS(E_F) = 4.96 states/eV per cell

x.
VASP calculation (meta-GGA SCAN) on a crystal of Ag3Pt2 relaxed with PBEsol.

Unit cell a=2.7836 b=6.9654 c=8.4569 alpha=106.07 beta=90.00 gamma=90.00
Sites, in units of the cell vectors:
Pt 0.5000 0.5052 0.5028
Pt 0.0000 0.7939 0.3991
Pt 0.5000 0.6992 0.1090
Pt 0.5000 0.9038 0.6885
Ag 0.0000 0.6052 0.8044
Ag 0.0000 0.2073 0.5989
Ag 0.5000 0.3003 0.9015
Ag 0.0000 0.3948 0.2029
Ag 0.0000 0.9939 0.9930
Ag 0.5000 0.0964 0.2999

mass density = 15.04 g cm⁻³
DOS(E_F) = 5.12 states/eV per cell

y.
VASP calculation (meta-GGA SCAN) on a crystal of Ag3Pt2 relaxed with PBEsol.

Unit cell a=4.0021 b=5.5958 c=7.4745 alpha=101.70 beta=105.53 gamma=90.00
Sites, in units of the cell vectors:
Pt 0.1984 0.6042 0.3967
Pt 0.7965 0.8900 0.5930
Pt 0.6019 0.3082 0.2037
Pt 0.6015 0.8044 0.2031
Ag 0.2001 0.1028 0.4003
Ag 0.3988 0.6986 0.7976
Ag 0.8004 0.3950 0.6008
Ag 0.0004 0.0002 0.0008
Ag 0.4006 0.1949 0.8013
Ag 0.0014 0.5018 0.0027

mass density = 15.03 g cm⁻³
DOS(E_F) = 4.87 states/eV per cell

z.
VASP calculation (meta-GGA SCAN) on a crystal of Ag3Pt2 relaxed with PBEsol.

Unit cell a=2.7853 b=2.7853 c=11.7783 alpha=83.21 beta=83.21 gamma=60.00
Sites, in units of the cell vectors:
Pt 0.8998 0.8998 0.3006
Pt 0.1002 0.1002 0.6994
Ag 0.5000 0.5000 0.5000
Ag 0.2997 0.2997 0.1009
Ag 0.7003 0.7003 0.8991

mass density = 15.12 g cm⁻³
DOS(E_F) = 1.78 states/eV per cell

Of them, y has the lowest stability.

w.
VASP calculation (meta-GGA SCAN) on a crystal of Ag3Pt2 relaxed with PBEsol.

Unit cell a=3.9742 b=6.3077 c=6.3077 alpha=90.00 beta=90.00 gamma=90.00
Sites, in units of the cell vectors:
Ag 0.5000 0.7957 0.9028
Ag 0.5000 0.0000 0.5000
Ag 0.0000 0.9028 0.2043
Ag 0.0000 0.5000 0.0000
Ag 0.0000 0.0972 0.7957
Ag 0.5000 0.2043 0.0972
Pt 0.0000 0.6906 0.5973
Pt 0.5000 0.5973 0.3094
Pt 0.5000 0.4027 0.6906
Pt 0.0000 0.3094 0.4027

mass density = 14.99 g cm⁻³
DOS(E_F) = 3.98 states/eV per cell

x.
VASP calculation (meta-GGA SCAN) on a crystal of Ag3Pt2 relaxed with PBEsol.

Unit cell a=2.7790 b=6.8836 c=8.5657 alpha=105.68 beta=90.00 gamma=90.00
Sites, in units of the cell vectors:
Ag 0.0000 0.7010 0.6031
Ag 0.5000 0.3972 0.7002
Ag 0.0000 0.9099 0.2026
Ag 0.0000 0.0901 0.7974
Ag 0.0000 0.2990 0.3969
Ag 0.5000 0.6028 0.2998
Pt 0.5000 0.0000 0.5000
Pt 0.0000 0.5000 0.0000
Pt 0.5000 0.7919 0.9098
Pt 0.5000 0.2081 0.0902

mass density = 15.03 g cm⁻³
DOS(E_F) = 4.48 states/eV per cell

Of them, w has the lowest stability.

w.
VASP calculation (meta-GGA SCAN) on a crystal of Ag3Pt2 relaxed with PBEsol.

Unit cell a=4.8719 b=5.5919 c=6.3248 alpha=102.43 beta=98.11 gamma=106.28
Sites, in units of the cell vectors:
Ag 0.5965 0.2001 0.1984
Ag 0.9973 0.0000 0.0041
Ag 0.8067 0.6009 0.5991
Ag 0.3999 0.2979 0.7981
Ag 0.8001 0.0984 0.5961
Ag 0.9998 0.5025 0.0051
Pt 0.2105 0.4056 0.4042
Pt 0.5912 0.7018 0.1963
Pt 0.4010 0.7962 0.7961
Pt 0.1969 0.8965 0.4024

mass density = 15.03 g cm⁻³
DOS(E_F) = 5.14 states/eV per cell

x.
VASP calculation (meta-GGA SCAN) on a crystal of Ag3Pt2 relaxed with PBEsol.

Unit cell a=3.9592 b=3.9621 c=10.2446 alpha=90.00 beta=101.14 gamma=90.00
Sites, in units of the cell vectors:
Ag 0.5996 0.0000 0.1993
Ag 0.2993 0.5000 0.5986
Ag 0.0003 0.0000 0.0007
Ag 0.7990 0.0000 0.5981
Ag 0.5008 0.5000 0.0015
Ag 0.9001 0.5000 0.8001
Pt 0.4001 0.0000 0.8001
Pt 0.1989 0.0000 0.3979
Pt 0.6984 0.5000 0.3969
Pt 0.1034 0.5000 0.2068

mass density = 15.03 g cm⁻³
DOS(E_F) = 5.49 states/eV per cell

y.
VASP calculation (meta-GGA SCAN) on a crystal of Ag3Pt2 relaxed with PBEsol.

Unit cell a=2.7981 b=7.4658 c=7.9977 alpha=105.94 beta=90.00 gamma=100.80
Sites, in units of the cell vectors:
Pt 0.8011 0.6023 0.4092
Pt 0.3998 0.7996 0.6984
Pt 0.6002 0.2004 0.3016
Pt 0.1989 0.3977 0.5908
Ag 0.6014 0.2028 0.7981
Ag 0.3986 0.7972 0.2019
Ag 0.2014 0.4028 0.1058
Ag 0.7986 0.5972 0.8942
Ag 0.0000 0.0000 0.5000
Ag 0.0000 0.0000 0.0000

mass density = 15.04 g cm⁻³
DOS(E_F) = 5.98 states/eV per cell

Of them, x has the lowest stability.

w.
VASP calculation (meta-GGA SCAN) on a crystal of Ag3Pt2 relaxed with PBEsol.

Unit cell a=2.7770 b=2.7770 c=10.3974 alpha=97.67 beta=97.67 gamma=90.00
Sites, in units of the cell vectors:
Ag 0.3012 0.3012 0.6025
Ag 0.5000 0.5000 0.0000
Ag 0.6988 0.6988 0.3975
Pt 0.0997 0.0997 0.1994
Pt 0.9003 0.9003 0.8006

mass density = 15.05 g cm⁻³
DOS(E_F) = 2.11 states/eV per cell

x.
VASP calculation (meta-GGA SCAN) on a crystal of Ag3Pt2 relaxed with PBEsol.

Unit cell a=2.7743 b=4.0784 c=7.3896 alpha=106.02 beta=100.82 gamma=90.00
Sites, in units of the cell vectors:
Ag 0.8007 0.8007 0.6014
Ag 0.0000 0.0000 0.0000
Ag 0.1993 0.1993 0.3986
Pt 0.5986 0.5986 0.1972
Pt 0.4014 0.4014 0.8028

mass density = 15.04 g cm⁻³
DOS(E_F) = 1.87 states/eV per cell

Of them, x has the lowest stability.